A relaxed K3V3O8 crystal, computed with GGA+U.

```
K3V3O8
1.0
5.753 0.000 0.000
-2.876 4.982 0.000
0.000 0.000 7.550
K V O
3 3 8
direct
0.000 0.000 0.000
0.333 0.667 0.691
0.667 0.333 0.309
0.000 0.000 0.500
0.333 0.667 0.260
0.667 0.333 0.740
0.333 0.667 0.037
0.667 0.333 0.963
0.333 0.167 0.660
0.833 0.667 0.660
0.833 0.167 0.660
0.167 0.833 0.340
0.167 0.333 0.340
0.667 0.833 0.340
```

Computed properties:
DOS at the Fermi energy, states/eV per atom: 0.00
VASP energy, eV/f.u.: -93.72
Total magnetic moment, μB/cell: 2.0